# 1
The following is a PBE calculation of a geometry-optimized Zr2ZnCd structure, from the Alexandria database.

The value obtained for the excess energy over the best structure of this formula in the dataset is 169.2 meV/atom. The space group is R-3m (166). The magnetic moment is 0.0 Bohr magnetons per cell. Its total energy is -4.83 eV/atom. Its energy of formation is -0.013 eV per atom.

a b c (Å): 10.4377 10.4377 10.4377
angles (deg): 16.87 16.87 16.87
With the nearest neighbours (Å) after each atom.
Element x y z (fractional)
Cd 0.2500 0.2500 0.2500  6 Cd 3.06, 6 Zr 3.23
Zn 0.7500 0.7500 0.7500  6 Zr 3.01, 6 Zn 3.06
Zr 0.0043 0.0043 0.0043  3 Zn 3.01, 6 Zr 3.06, 3 Cd 3.23
Zr 0.4957 0.4957 0.4957  3 Zn 3.01, 6 Zr 3.06, 3 Cd 3.23

# 2
The following is a PBE calculation of a geometry-optimized CaSm3Ir structure, from the Alexandria database.

The value obtained for the excess energy over the best structure of this formula in the dataset is 0.0 meV/atom. The space group is Pm-3m (221). The magnetic moment is 0.0 Bohr magnetons per cell. Its total energy is -5.28 eV/atom. Its energy of formation is -0.272 eV per atom.

a b c (Å): 5.5940 5.5940 5.5940
angles (deg): 90.00 90.00 90.00
With the nearest neighbours (Å) after each atom.
Element x y z (fractional)
Sm 0.0000 0.0000 0.5000  2 Ir 2.80
Sm 0.5000 0.0000 0.0000  2 Ir 2.80
Sm 0.0000 0.5000 0.0000  2 Ir 2.80
Ir 0.0000 0.0000 0.0000  6 Sm 2.80
Ca 0.5000 0.5000 0.5000  12 Sm 3.96

# 3
The following is a PBE calculation of a geometry-optimized SrSc2Os structure, from the Alexandria database.

The value obtained for the excess energy over the best structure of this formula in the dataset is 0.0 meV/atom. The space group is P2/m (10). The magnetic moment is 0.0 Bohr magnetons per cell. Its total energy is -6.53 eV/atom. Its energy of formation is -0.141 eV per atom.

a b c (Å): 3.2975 3.2981 9.9541
angles (deg): 70.51 90.00 90.00
With the nearest neighbours (Å) after each atom.
Element x y z (fractional)
Sc 0.0000 0.4123 0.5885  4 Os 2.78, 1 Sc 3.03
Sc 0.0000 0.0877 0.9115  4 Os 2.78, 1 Sc 3.03
Sr 0.5000 0.2500 0.2500  4 Sr 3.30
Os 0.5000 0.7500 0.7500  8 Sc 2.78

# 4
The following is a PBE calculation of a geometry-optimized Zr2ZnWI structure, from the Alexandria database.

The uncorrected formation energy comes out at 5.5 eV/f.u. The space group is P4/mmm (123). The magnetic moment is 0.0 Bohr magnetons per cell. Its total energy is -5.47 eV/atom.

a b c (Å): 5.0595 4.6684 5.0595
angles (deg): 90.00 90.00 90.00
With the nearest neighbours (Å) after each atom.
Element x y z (fractional)
Zr 0.5000 0.0000 0.0000  2 Zn 2.53
Zr 0.0000 0.0000 0.5000  2 Zn 2.53
W 0.0000 0.5000 0.0000  2 Zn 2.33
I 0.5000 0.5000 0.5000  8 Zr 3.44, 4 W 3.58
Zn 0.0000 0.0000 0.0000  2 W 2.33, 4 Zr 2.53

# 5
The following is a PBE calculation of a geometry-optimized La2PRh6Pb structure, from the Alexandria database.

The space group is Pmmn (59). The magnetic moment is 0.0 Bohr magnetons per cell. Its total energy is -6.89 eV/atom. Its energy of formation is -0.580 eV per atom.

a b c (Å): 5.6603 8.1312 8.8204
angles (deg): 90.00 90.00 90.00
With the nearest neighbours (Å) after each atom.
Element x y z (fractional)
La 0.0000 0.2779 0.7541  5 Rh 2.92-3.23
La 0.0000 0.2779 0.2459  5 Rh 2.92-3.23
La 0.5000 0.7221 0.2541  5 Rh 2.92-3.23
La 0.5000 0.7221 0.7459  5 Rh 2.92-3.23
Rh 0.2514 0.5699 0.0000  1 P 2.25
Rh 0.2372 0.0044 0.5000  1 P 2.27
Rh 0.5000 0.0858 0.2537  1 P 2.42
Rh 0.7486 0.5699 0.0000  1 P 2.25
Rh 0.5000 0.0858 0.7463  1 P 2.42
Rh 0.0000 0.9142 0.2463  1 P 2.42
Rh 0.2628 0.9956 0.0000  1 P 2.27
Rh 0.7372 0.9956 0.0000  1 P 2.27
Rh 0.2486 0.4301 0.5000  1 P 2.25
Rh 0.0000 0.9142 0.7537  1 P 2.42
Rh 0.7514 0.4301 0.5000  1 P 2.25
Rh 0.7628 0.0044 0.5000  1 P 2.27
P 0.5000 0.2156 0.5000  6 Rh 2.25-2.42
P 0.0000 0.7844 0.0000  6 Rh 2.25-2.42
Pb 0.5000 0.2907 0.0000  6 Rh 2.67-2.79
Pb 0.0000 0.7093 0.5000  6 Rh 2.67-2.79

# 6
The following is a PBE calculation of a geometry-optimized Sm4In2Pb structure, from the Alexandria database.

The space group is R-3m (166). The magnetic moment is 0.0 Bohr magnetons per cell. Its total energy is -4.32 eV/atom. Its energy of formation is -0.315 eV per atom.

a b c (Å): 5.3769 5.3769 9.3175
angles (deg): 73.23 73.23 60.00
With the nearest neighbours (Å) after each atom.
Element x y z (fractional)
Pb 0.0000 0.0000 0.0000  8 Sm 3.35-3.37
Sm 0.6192 0.6192 0.1425  4 In 3.27-3.53, 3 Pb 3.35
Sm 0.3808 0.3808 0.8575  4 In 3.27-3.53, 3 Pb 3.35
Sm 0.1279 0.1279 0.6162  4 In 3.14-3.29, 1 Pb 3.37
Sm 0.8721 0.8721 0.3838  4 In 3.14-3.29, 1 Pb 3.37
In 0.2470 0.2470 0.2589  7 Sm 3.14-3.29
In 0.7530 0.7530 0.7411  7 Sm 3.14-3.29

# 7
The following is a PBE calculation of a geometry-optimized Zr2AsOs structure, from the Alexandria database.

The space group is Immm (71). The magnetic moment is 0.0 Bohr magnetons per cell. Its total energy is -8.64 eV/atom. Its energy of formation is -0.395 eV per atom.

a b c (Å): 4.9440 4.9440 4.5728
angles (deg): 62.42 62.42 49.84
With the nearest neighbours (Å) after each atom.
Element x y z (fractional)
Zr 0.5053 0.5053 0.4946  4 Os 2.81-3.02, 4 As 2.87-2.97, 4 Zr 3.09
Zr 0.9947 0.9947 0.0054  4 Os 2.81-3.02, 4 As 2.87-2.97, 4 Zr 3.09
As 0.7500 0.7500 0.7500  8 Zr 2.87-2.97, 4 Os 3.09
Os 0.2500 0.2500 0.2500  8 Zr 2.81-3.02, 4 As 3.09

# 8
The following is a PBE calculation of a geometry-optimized Ba2TaNi structure, from the Alexandria database.

The value obtained for the excess energy over the best structure of this formula in the dataset is 66.5 meV/atom. The space group is C2/m (12). The magnetic moment is 0.0 Bohr magnetons per cell. Its total energy is -4.87 eV/atom. Its energy of formation is 0.495 eV per atom.

a b c (Å): 9.8008 9.8008 3.8434
angles (deg): 79.36 79.36 20.24
With the nearest neighbours (Å) after each atom.
Element x y z (fractional)
Ni 0.7500 0.7500 0.7500  4 Ta 2.58
Ba 0.3983 0.3983 0.6123  2 Ni 3.30, 2 Ta 3.40-3.41, 2 Ba 3.44
Ba 0.1017 0.1017 0.8877  2 Ni 3.30, 2 Ta 3.40-3.41, 2 Ba 3.44
Ta 0.2500 0.2500 0.2500  4 Ni 2.58

# 9
The following is a PBE calculation of a geometry-optimized Sc2VRu structure, from the Alexandria database.

The value obtained for the excess energy over the best structure of this formula in the dataset is 0.0 meV/atom. The space group is Fm-3m (225). The magnetic moment is 3.9 Bohr magnetons per cell. Its total energy is -7.92 eV/atom. Its energy of formation is -0.151 eV per atom.

a b c (Å): 4.6460 4.6460 4.6460
angles (deg): 60.00 60.00 60.00
With the nearest neighbours (Å) after each atom.
Element x y z (fractional)
Sc 0.7500 0.7500 0.7500  4 Ru 2.85, 4 V 2.85
Sc 0.2500 0.2500 0.2500  4 Ru 2.85, 4 V 2.85
Ru 0.5000 0.5000 0.5000  8 Sc 2.85
V 0.0000 0.0000 0.0000  8 Sc 2.85

# 10
The following is a PBE calculation of a geometry-optimized Sr3NbPd structure, from the Alexandria database.

The value obtained for the excess energy over the best structure of this formula in the dataset is 0.0 meV/atom. The space group is Pm-3m (221). The magnetic moment is 4.4 Bohr magnetons per cell. Its total energy is -3.57 eV/atom. Its energy of formation is 0.488 eV per atom.

a b c (Å): 5.8393 5.8393 5.8393
angles (deg): 90.00 90.00 90.00
With the nearest neighbours (Å) after each atom.
Element x y z (fractional)
Sr 0.0000 0.0000 0.5000  2 Pd 2.92
Sr 0.5000 0.0000 0.0000  2 Pd 2.92
Sr 0.0000 0.5000 0.0000  2 Pd 2.92
Nb 0.5000 0.5000 0.5000  12 Sr 4.13
Pd 0.0000 0.0000 0.0000  6 Sr 2.92

# 11
The following is a PBE calculation of a geometry-optimized NaCaTa4N8 structure, from the Alexandria database.

The uncorrected formation energy comes out at -11.1 eV/f.u. The space group is R3m (160). The magnetic moment is 0.5 Bohr magnetons per cell. Its total energy is -9.17 eV/atom.

a b c (Å): 6.3648 6.3648 6.4804
angles (deg): 60.59 60.59 60.00
With the nearest neighbours (Å) after each atom.
Element x y z (fractional)
N 0.2493 0.2493 0.6956  2 Ta 1.97
N 0.2493 0.8057 0.6956  2 Ta 1.97
N 0.7360 0.7360 0.2809  1 Ta 1.96
N 0.8057 0.2493 0.6956  2 Ta 1.97
N 0.2471 0.7360 0.2809  1 Ta 1.96
N 0.7561 0.7561 0.7317  4 Ta 2.16-2.26
N 0.7360 0.2471 0.2809  1 Ta 1.96
N 0.2351 0.2351 0.2946  3 Ta 2.09, 1 Ca 2.26
Ta 0.0047 0.4821 0.5085  3 N 1.97-2.09
Ta 0.6212 0.6212 0.1364  4 N 1.96-2.16
Ta 0.0047 0.0047 0.5085  3 N 1.97-2.09
Ta 0.4821 0.0047 0.5085  3 N 1.97-2.09
Na 0.9961 0.9961 0.0118  6 N 2.35-2.36
Ca 0.3764 0.3764 0.8707  4 N 2.25-2.26

# 12
The following is a PBE calculation of a geometry-optimized Sc4PtRh structure, from the Alexandria database.

The value obtained for the excess energy over the best structure of this formula in the dataset is 69.2 meV/atom. The space group is C2/m (12). The magnetic moment is 0.0 Bohr magnetons per cell. Its total energy is -7.18 eV/atom. Its energy of formation is -0.724 eV per atom.

a b c (Å): 4.5331 4.5338 6.4241
angles (deg): 89.91 89.95 90.00
With the nearest neighbours (Å) after each atom.
Element x y z (fractional)
Sc 0.5015 0.9977 0.7465  2 Rh 2.77, 2 Pt 2.78
Sc 0.0015 0.4977 0.7465  2 Rh 2.77-2.78, 2 Pt 2.78
Sc 0.5011 0.9968 0.2497  2 Rh 2.77, 2 Pt 2.78
Sc 0.0011 0.4969 0.2498  2 Rh 2.77-2.78, 2 Pt 2.78
Rh 0.0013 0.9973 0.4982  8 Sc 2.77-2.78
Pt 0.5013 0.4973 0.9981  8 Sc 2.78